1.
MnNbOs2Au after structural relaxation, computed with GGA-PBE.

Output
symmetry = P4/mmm, No. 123
ΔE to the lowest computed polymorph = 707.0 meV/atom

a = 4.7373 Å, b = 4.7373 Å, c = 4.6618 Å
α = 90.00°, β = 90.00°, γ = 90.00°
Last column: nearest neighbours and their distance in Å.
Fractional positions:
Mn 0.0000 0.0000 0.0000  2 Nb 2.33
Nb 0.0000 0.0000 0.5000  2 Mn 2.33, 4 Os 2.37
Os 0.0000 0.5000 0.5000  2 Nb 2.37
Os 0.5000 0.0000 0.5000  2 Nb 2.37
Au 0.5000 0.5000 0.0000  8 Os 3.32, 4 Mn 3.35

---

2.
MnNbOs2Au after structural relaxation, computed with GGA-PBE.

Output
symmetry = P4/mmm, No. 123
ΔE to the lowest computed polymorph = 0.0 meV/atom

a = 4.4447 Å, b = 4.4447 Å, c = 4.4942 Å
α = 90.00°, β = 90.00°, γ = 90.00°
Last column: nearest neighbours and their distance in Å.
Fractional positions:
Mn 0.0000 0.0000 0.0000  4 Os 2.22, 2 Nb 2.25
Nb 0.0000 0.0000 0.5000  2 Mn 2.25
Os 0.0000 0.5000 0.0000  2 Mn 2.22
Os 0.5000 0.0000 0.0000  2 Mn 2.22
Au 0.5000 0.5000 0.5000  4 Nb 3.14, 8 Os 3.16

---

3.
Mn2NbPAu after structural relaxation, computed with GGA-PBE.

Output
symmetry = P4/mmm, No. 123
raw total energy = -6.18 eV/atom

a = 4.8299 Å, b = 4.8299 Å, c = 5.0471 Å
α = 90.00°, β = 90.00°, γ = 90.00°
Last column: nearest neighbours and their distance in Å.
Fractional positions:
Mn 0.0000 0.5000 0.0000  2 Au 2.41
Mn 0.5000 0.0000 0.0000  2 Au 2.41
Nb 0.0000 0.0000 0.5000  2 Au 2.52
P 0.5000 0.5000 0.5000  4 Nb 3.42, 8 Mn 3.49
Au 0.0000 0.0000 0.0000  4 Mn 2.41, 2 Nb 2.52

---

4.
TiMn2NbAu after structural relaxation, computed with GGA-PBE.

Output
symmetry = P4/mmm, No. 123
raw total energy = -6.04 eV/atom

a = 4.5964 Å, b = 4.5964 Å, c = 4.9446 Å
α = 90.00°, β = 90.00°, γ = 90.00°
Last column: nearest neighbours and their distance in Å.
Fractional positions:
Ti 0.0000 0.0000 0.0000  4 Nb 3.25, 8 Mn 3.38
Mn 0.0000 0.5000 0.5000  2 Au 2.30
Mn 0.5000 0.0000 0.5000  2 Au 2.30
Nb 0.5000 0.5000 0.0000  2 Au 2.47
Au 0.5000 0.5000 0.5000  4 Mn 2.30, 2 Nb 2.47

---

5.
MnNbWAu2 after structural relaxation, computed with GGA-PBE.

Output
symmetry = P4/mmm, No. 123
raw total energy = -5.75 eV/atom

a = 4.9898 Å, b = 4.9898 Å, c = 4.1956 Å
α = 90.00°, β = 90.00°, γ = 90.00°
Last column: nearest neighbours and their distance in Å.
Fractional positions:
Mn 0.0000 0.0000 0.0000  2 Nb 2.10
Nb 0.0000 0.0000 0.5000  2 Mn 2.10
W 0.5000 0.5000 0.0000  8 Au 3.26, 4 Mn 3.53
Au 0.0000 0.5000 0.5000  2 Nb 2.49
Au 0.5000 0.0000 0.5000  2 Nb 2.49

---

6.
Mn2NiAu2 after structural relaxation, computed with GGA-PBE.

Output
symmetry = P4/mbm, No. 127
raw total energy = -5.63 eV/atom

a = 5.9737 Å, b = 5.9737 Å, c = 4.0855 Å
α = 90.00°, β = 90.00°, γ = 90.00°
Last column: nearest neighbours and their distance in Å.
Fractional positions:
Mn 0.1131 0.3869 0.0000  1 Mn 1.91
Mn 0.3869 0.8869 0.0000  1 Mn 1.91
Mn 0.6131 0.1131 0.0000  1 Mn 1.91
Mn 0.8869 0.6131 0.0000  1 Mn 1.91
Ni 0.0000 0.0000 0.0000  4 Mn 2.41
Ni 0.5000 0.5000 0.0000  4 Mn 2.41
Au 0.1837 0.6837 0.5000  6 Mn 2.67-2.74
Au 0.3163 0.1837 0.5000  6 Mn 2.67-2.74
Au 0.6837 0.8163 0.5000  6 Mn 2.67-2.74
Au 0.8163 0.3163 0.5000  6 Mn 2.67-2.74

---

7.
Mn2NiAu8 after structural relaxation, computed with GGA-PBE.

Output
symmetry = C2/m, No. 12
raw total energy = -4.40 eV/atom

a = 8.7185 Å, b = 8.7185 Å, c = 7.5342 Å
α = 105.51°, β = 105.51°, γ = 19.11°
Last column: nearest neighbours and their distance in Å.
Fractional positions:
Mn 0.2446 0.2446 0.0966  2 Mn 2.10
Mn 0.7554 0.7554 0.9034  2 Mn 2.10
Ni 0.5000 0.5000 0.5000  8 Au 2.64-2.71, 2 Ni 2.90
Au 0.0368 0.0368 0.2410  2 Ni 2.64, 8 Au 2.90-2.95
Au 0.1346 0.1346 0.6557  2 Ni 2.71, 2 Mn 2.79, 6 Au 2.90-3.00
Au 0.3095 0.3095 0.6368  2 Mn 2.83, 10 Au 2.87-3.05
Au 0.3966 0.3966 0.0254  3 Mn 2.76-2.81, 9 Au 2.90-2.98
Au 0.6034 0.6034 0.9746  3 Mn 2.76-2.81, 9 Au 2.90-2.98
Au 0.6905 0.6905 0.3632  2 Mn 2.83, 10 Au 2.87-3.05
Au 0.8654 0.8654 0.3443  2 Ni 2.71, 2 Mn 2.79, 6 Au 2.90-3.00
Au 0.9632 0.9632 0.7590  2 Ni 2.64, 8 Au 2.90-2.95

---

8.
MnNi2Au after structural relaxation, computed with GGA-PBE.

Output
symmetry = I-4m2, No. 119
raw total energy = -6.02 eV/atom

a = 4.6440 Å, b = 4.6440 Å, c = 4.6440 Å
α = 132.55°, β = 132.55°, γ = 69.36°
Last column: nearest neighbours and their distance in Å.
Fractional positions:
Mn 0.0000 0.0000 0.0000  8 Ni 2.64-2.67, 4 Au 2.67
Ni 0.5000 0.5000 0.0000  4 Mn 2.64, 4 Ni 2.67, 4 Au 2.67
Ni 0.7500 0.2500 0.5000  4 Au 2.64, 4 Mn 2.67, 4 Ni 2.67
Au 0.2500 0.7500 0.5000  8 Ni 2.64-2.67, 4 Mn 2.67

---

9.
MnNi2Au after structural relaxation, computed with GGA-PBE.

Output
symmetry = F-43m, No. 216
raw total energy = -5.92 eV/atom

a = 4.2525 Å, b = 4.2525 Å, c = 4.2525 Å
α = 60.00°, β = 60.00°, γ = 60.00°
Last column: nearest neighbours and their distance in Å.
Fractional positions:
Mn 0.0000 0.0000 0.0000  4 Au 2.60, 4 Ni 2.60
Ni 0.2500 0.2500 0.2500  4 Mn 2.60, 4 Ni 2.60
Ni 0.5000 0.5000 0.5000  4 Ni 2.60, 4 Au 2.60
Au 0.7500 0.7500 0.7500  4 Mn 2.60, 4 Ni 2.60

---

10.
MnNiAu2 after structural relaxation, computed with GGA-PBE.

Output
symmetry = F-43m, No. 216
raw total energy = -5.32 eV/atom

a = 4.4583 Å, b = 4.4583 Å, c = 4.4583 Å
α = 60.00°, β = 60.00°, γ = 60.00°
Last column: nearest neighbours and their distance in Å.
Fractional positions:
Mn 0.0000 0.0000 0.0000  4 Au 2.73, 4 Ni 2.73
Ni 0.2500 0.2500 0.2500  4 Mn 2.73, 4 Au 2.73
Au 0.5000 0.5000 0.5000  4 Au 2.73, 4 Ni 2.73
Au 0.7500 0.7500 0.7500  4 Mn 2.73, 4 Au 2.73

---

11.
MnNi2Au after structural relaxation, computed with GGA-PBE.

Output
symmetry = I-42d, No. 122
raw total energy = -5.64 eV/atom

a = 5.3957 Å, b = 5.3957 Å, c = 5.3957 Å
α = 103.29°, β = 103.29°, γ = 122.70°
Last column: nearest neighbours and their distance in Å.
Fractional positions:
Mn 0.0000 0.0000 0.0000  4 Ni 2.36, 2 Au 2.59
Mn 0.7500 0.2500 0.5000  4 Ni 2.36, 2 Au 2.59
Ni 0.1048 0.6250 0.9798  2 Mn 2.36, 2 Au 2.55, 2 Ni 2.60
Ni 0.3750 0.3548 0.4798  2 Mn 2.36, 2 Au 2.55, 2 Ni 2.60
Ni 0.6452 0.1250 0.0202  2 Mn 2.36, 2 Au 2.55, 2 Ni 2.60
Ni 0.8750 0.8952 0.5202  2 Mn 2.36, 2 Au 2.55, 2 Ni 2.60
Au 0.2500 0.7500 0.5000  4 Ni 2.55, 2 Mn 2.59
Au 0.5000 0.5000 0.0000  4 Ni 2.55, 2 Mn 2.59

---

12.
MnNiAu2 after structural relaxation, computed with GGA-PBE.

Output
symmetry = Pm, No. 6
raw total energy = -5.39 eV/atom

a = 2.9479 Å, b = 3.4276 Å, c = 6.1024 Å
α = 90.00°, β = 90.19°, γ = 90.00°
Last column: nearest neighbours and their distance in Å.
Fractional positions:
Mn 0.0000 0.0000 0.0000  4 Ni 2.56-2.57, 5 Au 2.72-2.75
Ni 0.4990 0.5000 0.1988  4 Mn 2.56-2.57, 5 Au 2.71-2.77
Au 0.9997 0.0000 0.4451  4 Ni 2.71-2.72, 1 Mn 2.72, 6 Au 2.91-2.95
Au 0.5000 0.5000 0.7451  4 Mn 2.74-2.75, 1 Ni 2.77, 6 Au 2.91-2.95

---

| no. | size of the total moment (μB per formula unit) |
| --- | --- |
| 1 | 4.37 |
| 2 | 0.00 |
| 3 | 7.14 |
| 4 | 1.05 |
| 5 | 0.00 |
| 6 | 0.00 |
| 7 | 1.10 |
| 8 | 4.49 |
| 9 | 4.63 |
| 10 | 4.59 |
| 11 | 4.15 |
| 12 | 4.39 |